1.
Below is a relaxed HfMg2Pb2 crystal, with properties calculated at the PBE level.

energy above the lowest structure with this stoichiometry: 0.000 eV/atom
D(E_F): 6.438 states/eV per cell
E: -3.9569 eV/atom
formation energy: 3.574 kcal/mol of atoms

Geometry as CIF:
```
data_HfMg2Pb2
_chemical_formula_sum 'Hf2 Mg4 Pb4'
_space_group_name_H-M_alt 'P 4/m b m'
_space_group_IT_number 127
_space_group_name_Hall '-P 4 2ab'
_cell_length_a 8.309
_cell_length_b 8.309
_cell_length_c 3.531
_cell_angle_alpha 90.00
_cell_angle_beta 90.00
_cell_angle_gamma 90.00
loop_
_atom_site_label
_atom_site_fract_x
_atom_site_fract_y
_atom_site_fract_z
_atom_site_occupancy
Hf1 0.000 0.000 0.000 1
Mg1 0.140 0.360 0.500 1
Pb1 0.161 0.661 0.000 1
```


2.
Below is a relaxed MnTl3W crystal, with properties calculated at the PBE level.

energy above the lowest structure with this stoichiometry: 0.252 eV/atom
D(E_F): 2.575 states/eV per cell
E: -4.3871 eV/atom
formation energy: 33.603 kcal/mol of atoms

Geometry as CIF:
```
data_MnTl3W
_chemical_formula_sum 'Mn1 Tl3 W1'
_space_group_name_H-M_alt 'P m -3 m'
_space_group_IT_number 221
_space_group_name_Hall '-P 4 2 3'
_cell_length_a 5.128
_cell_length_b 5.128
_cell_length_c 5.128
_cell_angle_alpha 90.00
_cell_angle_beta 90.00
_cell_angle_gamma 90.00
loop_
_atom_site_label
_atom_site_fract_x
_atom_site_fract_y
_atom_site_fract_z
_atom_site_occupancy
Mn1 0.000 0.000 0.000 1
Tl1 0.000 0.000 0.500 1
W1 0.500 0.500 0.500 1
```


3.
Below is a relaxed SbTe2AsRh crystal, with properties calculated at the PBE level.

energy relative to the elements, uncorrected: 1.0533 eV/atom
energy above the lowest structure with this stoichiometry: 0.566 eV/atom
D(E_F): 4.962 states/eV per cell
E: -3.4280 eV/atom

Geometry as CIF:
```
data_SbTe2AsRh
_chemical_formula_sum 'Sb1 Te2 As1 Rh1'
_space_group_name_H-M_alt 'P 4/m m m'
_space_group_IT_number 123
_space_group_name_Hall '-P 4 2'
_cell_length_a 5.388
_cell_length_b 5.388
_cell_length_c 5.158
_cell_angle_alpha 90.00
_cell_angle_beta 90.00
_cell_angle_gamma 90.00
loop_
_atom_site_label
_atom_site_fract_x
_atom_site_fract_y
_atom_site_fract_z
_atom_site_occupancy
Sb1 0.000 0.000 0.000 1
Te1 0.000 0.500 0.500 1
As1 0.000 0.000 0.500 1
Rh1 0.500 0.500 0.000 1
```


4.
Below is a relaxed BaCr2Co crystal, with properties calculated at the PBE level.

energy above the lowest structure with this stoichiometry: 0.334 eV/atom
D(E_F): 4.979 states/eV per cell
E: -6.1857 eV/atom
formation energy: 20.365 kcal/mol of atoms

Geometry as CIF:
```
data_BaCr2Co
_chemical_formula_sum 'Ba1 Cr2 Co1'
_space_group_name_H-M_alt 'P 1 2/m 1'
_space_group_IT_number 10
_cell_length_a 3.080
_cell_length_b 4.156
_cell_length_c 6.619
_cell_angle_alpha 90.00
_cell_angle_beta 102.37
_cell_angle_gamma 90.00
loop_
_space_group_symop_operation_xyz
'x,y,z'
'-x,-y,-z'
'-x,y,-z'
'x,-y,z'
loop_
_atom_site_label
_atom_site_fract_x
_atom_site_fract_y
_atom_site_fract_z
_atom_site_occupancy
Ba1 0.000 0.000 0.000 1
Cr1 0.343 0.500 0.616 1
Co1 0.000 0.000 0.500 1
```


5.
Below is a relaxed AlTc crystal, with properties calculated at the PBE level.

energy above the lowest structure with this stoichiometry: 0.225 eV/atom
D(E_F): 12.217 states/eV per cell
E: -7.2419 eV/atom
formation energy: -4.326 kcal/mol of atoms

Geometry as CIF:
```
data_AlTc
_chemical_formula_sum 'Al8 Tc8'
_space_group_name_H-M_alt 'I 4/m m m'
_space_group_IT_number 139
_space_group_name_Hall '-I 4 2'
_cell_length_a 7.625
_cell_length_b 7.625
_cell_length_c 4.408
_cell_angle_alpha 90.00
_cell_angle_beta 90.00
_cell_angle_gamma 90.00
loop_
_atom_site_label
_atom_site_fract_x
_atom_site_fract_y
_atom_site_fract_z
_atom_site_occupancy
Al1 0.000 0.281 0.000 1
Tc1 0.165 0.165 0.500 1
```


6.
Below is a relaxed RbGaGe crystal, with properties calculated at the PBE level.

D(E_F): 1.349 states/eV per cell
E: -2.9729 eV/atom
formation energy: -2.358 kcal/mol of atoms

Geometry as CIF:
```
data_RbGaGe
_chemical_formula_sum 'Rb4 Ga4 Ge4'
_space_group_name_H-M_alt 'C m c 21'
_space_group_IT_number 36
_cell_length_a 4.247
_cell_length_b 14.126
_cell_length_c 6.247
_cell_angle_alpha 90.00
_cell_angle_beta 90.00
_cell_angle_gamma 90.00
loop_
_space_group_symop_operation_xyz
'x,y,z'
'-x,-y,z+1/2'
'-x,y,z'
'x,-y,z+1/2'
'x+1/2,y+1/2,z'
'-x+1/2,-y+1/2,z+1/2'
'-x+1/2,y+1/2,z'
'x+1/2,-y+1/2,z+1/2'
loop_
_atom_site_label
_atom_site_fract_x
_atom_site_fract_y
_atom_site_fract_z
_atom_site_occupancy
Rb1 0.000 0.065 0.000 1
Ga1 0.000 0.229 0.571 1
Ge1 0.000 0.334 0.907 1
```


7.
Below is a relaxed TaCu2Re crystal, with properties calculated at the PBE level.

energy above the lowest structure with this stoichiometry: 0.016 eV/atom
D(E_F): 5.567 states/eV per cell
E: -8.0063 eV/atom
formation energy: 2.697 kcal/mol of atoms

Geometry as CIF:
```
data_TaCu2Re
_chemical_formula_sum 'Ta2 Cu4 Re2'
_space_group_name_H-M_alt 'I m m m'
_space_group_IT_number 71
_space_group_name_Hall '-I 2 2'
_cell_length_a 3.749
_cell_length_b 3.761
_cell_length_c 8.090
_cell_angle_alpha 90.00
_cell_angle_beta 90.00
_cell_angle_gamma 90.00
loop_
_atom_site_label
_atom_site_fract_x
_atom_site_fract_y
_atom_site_fract_z
_atom_site_occupancy
Ta1 0.000 0.000 0.000 1
Cu1 0.000 0.500 0.250 1
Re1 0.000 0.000 0.500 1
```


8.
Below is a relaxed Ho3FeSe crystal, with properties calculated at the PBE level.

energy relative to the elements, uncorrected: -0.6855 eV/atom
D(E_F): 9.079 states/eV per cell
E: -5.8216 eV/atom

Geometry as CIF:
```
data_Ho3FeSe
_chemical_formula_sum 'Ho6 Fe2 Se2'
_space_group_name_H-M_alt 'P 1 21/m 1'
_space_group_IT_number 11
_cell_length_a 7.987
_cell_length_b 3.815
_cell_length_c 8.201
_cell_angle_alpha 90.00
_cell_angle_beta 108.42
_cell_angle_gamma 90.00
loop_
_space_group_symop_operation_xyz
'x,y,z'
'-x,-y,-z'
'-x,y+1/2,-z'
'x,-y+1/2,z'
loop_
_atom_site_label
_atom_site_fract_x
_atom_site_fract_y
_atom_site_fract_z
_atom_site_occupancy
Ho1 0.078 0.250 0.240 1
Ho2 0.310 0.250 0.936 1
Ho3 0.334 0.750 0.596 1
Fe1 0.054 0.250 0.564 1
Se1 0.379 0.750 0.241 1
```


9.
Below is a relaxed MnTl2Fe crystal, with properties calculated at the PBE level.

energy above the lowest structure with this stoichiometry: 0.193 eV/atom
D(E_F): 3.291 states/eV per cell
E: -4.9196 eV/atom
formation energy: 15.487 kcal/mol of atoms

Geometry as CIF:
```
data_MnTl2Fe
_chemical_formula_sum 'Mn1 Tl2 Fe1'
_space_group_name_H-M_alt 'P 1 2/m 1'
_space_group_IT_number 10
_cell_length_a 3.135
_cell_length_b 4.564
_cell_length_c 5.608
_cell_angle_alpha 90.00
_cell_angle_beta 94.16
_cell_angle_gamma 90.00
loop_
_space_group_symop_operation_xyz
'x,y,z'
'-x,-y,-z'
'-x,y,-z'
'x,-y,z'
loop_
_atom_site_label
_atom_site_fract_x
_atom_site_fract_y
_atom_site_fract_z
_atom_site_occupancy
Mn1 0.000 0.000 0.000 1
Tl1 0.261 0.500 0.747 1
Fe1 0.500 0.000 0.500 1
```


10.
Below is a relaxed TbDy7Er4 crystal, with properties calculated at the PBE level.

energy above the lowest structure with this stoichiometry: 0.201 eV/atom
D(E_F): 39.243 states/eV per cell
E: -4.3014 eV/atom
formation energy: 6.687 kcal/mol of atoms

Geometry as CIF:
```
data_TbDy7Er4
_chemical_formula_sum 'Tb2 Dy14 Er8'
_space_group_name_H-M_alt 'C 1 2/m 1'
_space_group_IT_number 12
_cell_length_a 11.931
_cell_length_b 5.825
_cell_length_c 12.567
_cell_angle_alpha 90.00
_cell_angle_beta 118.20
_cell_angle_gamma 90.00
loop_
_space_group_symop_operation_xyz
'x,y,z'
'-x,-y,-z'
'-x,y,-z'
'x,-y,z'
'x+1/2,y+1/2,z'
'-x+1/2,-y+1/2,-z'
'-x+1/2,y+1/2,-z'
'x+1/2,-y+1/2,z'
loop_
_atom_site_label
_atom_site_fract_x
_atom_site_fract_y
_atom_site_fract_z
_atom_site_occupancy
Tb1 0.000 0.000 0.000 1
Dy1 0.000 0.500 0.000 1
Dy2 0.060 0.000 0.323 1
Dy3 0.134 0.500 0.502 1
Dy4 0.212 0.000 0.923 1
Er1 0.136 0.500 0.775 1
Er2 0.247 0.000 0.683 1
```


11.
Below is a relaxed CaTlBiPtN crystal, with properties calculated at the PBE level.

energy relative to the elements, uncorrected: -0.1626 eV/atom
energy above the lowest structure with this stoichiometry: 0.092 eV/atom
D(E_F): 3.105 states/eV per cell
E: -4.6856 eV/atom

Geometry as CIF:
```
data_CaTlBiPtN
_chemical_formula_sum 'Ca2 Tl2 Bi2 Pt2 N2'
_space_group_name_H-M_alt 'C 1 m 1'
_space_group_IT_number 8
_cell_length_a 11.270
_cell_length_b 3.873
_cell_length_c 5.737
_cell_angle_alpha 90.00
_cell_angle_beta 109.48
_cell_angle_gamma 90.00
loop_
_space_group_symop_operation_xyz
'x,y,z'
'x,-y,z'
'x+1/2,y+1/2,z'
'x+1/2,-y+1/2,z'
loop_
_atom_site_label
_atom_site_fract_x
_atom_site_fract_y
_atom_site_fract_z
_atom_site_occupancy
Ca1 0.000 0.000 0.000 1
Tl1 0.216 0.000 0.709 1
Bi1 0.448 0.000 0.460 1
Pt1 0.259 0.500 0.323 1
N1 0.071 0.500 0.210 1
```


12.
Below is a relaxed Li2AlCuF6 crystal, with properties calculated at the PBE level.

energy relative to the elements, uncorrected: -2.5359 eV/atom
energy above the lowest structure with this stoichiometry: 0.225 eV/atom
D(E_F): 32.907 states/eV per cell
E: -4.8254 eV/atom

Geometry as CIF:
```
data_Li2AlCuF6
_chemical_formula_sum 'Li8 Al4 Cu4 F24'
_space_group_name_H-M_alt 'F m -3 m'
_space_group_IT_number 225
_space_group_name_Hall '-F 4 2 3'
_cell_length_a 7.930
_cell_length_b 7.930
_cell_length_c 7.930
_cell_angle_alpha 90.00
_cell_angle_beta 90.00
_cell_angle_gamma 90.00
loop_
_atom_site_label
_atom_site_fract_x
_atom_site_fract_y
_atom_site_fract_z
_atom_site_occupancy
Li1 0.250 0.250 0.250 1
Al1 0.000 0.000 0.000 1
Cu1 0.000 0.000 0.500 1
F1 0.000 0.000 0.228 1
```


The highest D(E_F) belongs to which entry?
TbDy7Er4


Number 12 is which compound?
Li2AlCuF6


Please write out number 4 again, unchanged.
Below is a relaxed BaCr2Co crystal, with properties calculated at the PBE level.

energy above the lowest structure with this stoichiometry: 0.334 eV/atom
D(E_F): 4.979 states/eV per cell
E: -6.1857 eV/atom
formation energy: 20.365 kcal/mol of atoms

Geometry as CIF:
```
data_BaCr2Co
_chemical_formula_sum 'Ba1 Cr2 Co1'
_space_group_name_H-M_alt 'P 1 2/m 1'
_space_group_IT_number 10
_cell_length_a 3.080
_cell_length_b 4.156
_cell_length_c 6.619
_cell_angle_alpha 90.00
_cell_angle_beta 102.37
_cell_angle_gamma 90.00
loop_
_space_group_symop_operation_xyz
'x,y,z'
'-x,-y,-z'
'-x,y,-z'
'x,-y,z'
loop_
_atom_site_label
_atom_site_fract_x
_atom_site_fract_y
_atom_site_fract_z
_atom_site_occupancy
Ba1 0.000 0.000 0.000 1
Cr1 0.343 0.500 0.616 1
Co1 0.000 0.000 0.500 1
```